No. 1
Below is an optimized crystal structure of Zr5Mo, with properties calculated at the GGA-PBEsol level.

Cell and atoms, written as POSCAR:
```
Zr5Mo
1.0
5.458 -1.680 0.000
5.458 1.680 0.000
-2.419 0.000 6.795
Zr Mo
5 1
Direct
0.000 0.000 0.000 Zr
0.015 0.015 0.451 Zr
0.357 0.357 0.647 Zr
0.686 0.686 0.831 Zr
0.704 0.704 0.292 Zr
0.347 0.347 0.139 Mo
```

Calculated values
Its calculated formation energy is 0.0078 eV/atom. The calculation puts the total magnetization at 0.0 μB/cell. The calculation puts the raw total energy at -9.53 eV/atom. Its energy above the lowest structure with this stoichiometry is 0.0 meV per atom.

=====

No. 2
Below is an optimized crystal structure of Zr4Mo3, with properties calculated at the GGA-PBEsol level.

Cell and atoms, written as POSCAR:
```
Zr4Mo3
1.0
5.179 0.000 0.000
-2.589 4.485 0.000
0.000 0.000 5.712
Zr Mo
4 3
Direct
0.000 0.000 0.237 Zr
0.000 0.000 0.763 Zr
0.333 0.667 0.000 Zr
0.667 0.333 0.000 Zr
0.000 0.500 0.500 Mo
0.500 0.000 0.500 Mo
0.500 0.500 0.500 Mo
```

Calculated values
Its calculated formation energy is -0.0537 eV/atom. The calculation puts the total magnetization at 0.0 μB/cell. The calculation puts the raw total energy at -10.29 eV/atom.

=====

No. 3
Below is an optimized crystal structure of Zr5Mo, with properties calculated at the GGA-PBEsol level.

Cell and atoms, written as POSCAR:
```
Zr5Mo
1.0
3.305 0.000 0.000
0.000 3.305 0.000
0.000 0.000 11.417
Zr Mo
5 1
Direct
0.000 0.000 0.000 Zr
0.000 0.000 0.361 Zr
0.000 0.000 0.639 Zr
0.500 0.500 0.180 Zr
0.500 0.500 0.820 Zr
0.500 0.500 0.500 Mo
```

Calculated values
Its calculated formation energy is 0.0370 eV/atom. The calculation puts the total magnetization at 0.0 μB/cell. The calculation puts the raw total energy at -9.50 eV/atom. Its energy above the lowest structure with this stoichiometry is 29.3 meV per atom.

=====

No. 4
Below is an optimized crystal structure of Zr3Mo, with properties calculated at the GGA-PBEsol level.

Cell and atoms, written as POSCAR:
```
Zr3Mo
1.0
-1.689 4.846 2.464
1.689 -4.846 2.464
1.689 4.846 -2.464
Zr Mo
3 1
Direct
0.000 0.000 0.000 Zr
0.292 0.512 0.779 Zr
0.733 0.512 0.221 Zr
0.475 0.975 0.500 Mo
```

Calculated values
Its calculated formation energy is 0.0015 eV/atom. The calculation puts the total magnetization at 0.0 μB/cell. The calculation puts the raw total energy at -9.76 eV/atom. Its energy above the lowest structure with this stoichiometry is 0.0 meV per atom.

=====

No. 5
Below is an optimized crystal structure of ZrMo5, with properties calculated at the GGA-PBEsol level.

Cell and atoms, written as POSCAR:
```
ZrMo5
1.0
1.585 -6.738 0.000
1.585 6.738 0.000
0.000 0.000 4.511
Zr Mo
1 5
Direct
0.000 0.000 0.000 Zr
0.167 0.833 0.500 Mo
0.327 0.673 0.000 Mo
0.500 0.500 0.500 Mo
0.673 0.327 0.000 Mo
0.833 0.167 0.500 Mo
```

Calculated values
Its calculated formation energy is -0.0134 eV/atom. The calculation puts the total magnetization at 0.0 μB/cell. The calculation puts the raw total energy at -11.33 eV/atom. Its energy above the lowest structure with this stoichiometry is 8.6 meV per atom.

=====

No. 6
Below is an optimized crystal structure of ZrMo5, with properties calculated at the GGA-PBEsol level.

Cell and atoms, written as POSCAR:
```
ZrMo5
1.0
5.043 -1.584 0.000
5.043 1.584 0.000
-2.023 0.000 6.028
Zr Mo
1 5
Direct
0.000 0.000 0.000 Zr
0.000 0.000 0.500 Mo
0.328 0.328 0.658 Mo
0.330 0.330 0.172 Mo
0.670 0.670 0.828 Mo
0.672 0.672 0.342 Mo
```

Calculated values
Its calculated formation energy is -0.0220 eV/atom. The calculation puts the total magnetization at 0.0 μB/cell. The calculation puts the raw total energy at -11.34 eV/atom. Its energy above the lowest structure with this stoichiometry is 0.0 meV per atom.

=====

No. 7
Below is an optimized crystal structure of Zr4Mo, with properties calculated at the GGA-PBEsol level.

Cell and atoms, written as POSCAR:
```
Zr4Mo
1.0
-3.194 3.194 2.554
3.194 -3.194 2.554
3.194 3.194 -2.554
Zr Mo
4 1
Direct
0.138 0.317 0.455 Zr
0.317 0.862 0.179 Zr
0.683 0.138 0.821 Zr
0.862 0.683 0.545 Zr
0.500 0.500 0.000 Mo
```

Calculated values
Its calculated formation energy is 0.0908 eV/atom. The calculation puts the total magnetization at 0.0 μB/cell. The calculation puts the raw total energy at -9.53 eV/atom.

=====

No. 8
Below is an optimized crystal structure of Zr3Mo, with properties calculated at the GGA-PBEsol level.

Cell and atoms, written as POSCAR:
```
Zr3Mo
1.0
4.800 0.000 0.000
0.000 4.800 0.000
0.000 0.000 3.406
Zr Mo
3 1
Direct
0.000 0.000 0.000 Zr
0.000 0.500 0.500 Zr
0.500 0.000 0.500 Zr
0.500 0.500 0.000 Mo
```

Calculated values
Its calculated formation energy is 0.1200 eV/atom. The calculation puts the total magnetization at 0.0 μB/cell. The calculation puts the raw total energy at -9.64 eV/atom. Its energy above the lowest structure with this stoichiometry is 118.5 meV per atom.

=====

Which formula does entry 6 have?
ZrMo5